Sc6Pd8Pt | PBE | relaxed

The structure in POSCAR format:
```
Sc6Pd8Pt
1.0
7.664 0.000 0.000
3.832 6.637 0.000
3.832 2.212 5.551
Sc Pd Pt
6 8 1
direct
0.390 0.122 0.817
0.878 0.330 0.183
0.330 0.610 0.183
0.670 0.390 0.817
0.122 0.670 0.817
0.610 0.878 0.183
0.584 0.170 0.337
0.830 0.090 0.663
0.090 0.416 0.663
0.718 0.718 0.846
0.282 0.282 0.154
0.910 0.584 0.337
0.170 0.910 0.337
0.416 0.830 0.663
0.000 0.000 0.000
```

DOS at the Fermi energy (states/eV per cell): 7.562
Calculated density (g/cm³): 7.7
Calculated formation energy (eV/atom): -0.713
Space-group type: R-3



BaAs3 | PBE | relaxed

The structure in POSCAR format:
```
BaAs3
1.0
-0.358 -3.529 -1.322
4.185 -0.361 -0.169
0.048 -2.268 6.039
As Ba
3 1
direct
0.500 0.500 0.687
0.000 0.000 0.500
0.500 0.500 0.313
0.000 0.000 0.000
```

DOS at the Fermi energy (states/eV per cell): 2.627
Calculated density (g/cm³): 5.9
Calculated formation energy (eV/atom): -0.194
Space-group type: Pmmm



Li2AlCd | PBE | relaxed

The structure in POSCAR format:
```
Li2AlCd
1.0
2.981 0.000 0.000
1.491 2.582 0.000
1.491 0.861 9.345
Li Al Cd
2 1 1
direct
0.086 0.086 0.741
0.247 0.247 0.259
0.500 0.500 0.499
0.666 0.666 0.001
```

DOS at the Fermi energy (states/eV per cell): 2.049
Calculated density (g/cm³): 3.5
Calculated formation energy (eV/atom): -0.097
Space-group type: R3m



PuCu2P2 | PBE | relaxed

The structure in POSCAR format:
```
PuCu2P2
1.0
6.264 0.092 -0.179
-1.211 6.146 -0.179
-2.365 -2.920 4.691
Pu Cu P
2 4 4
direct
0.126 0.874 0.250
0.874 0.126 0.750
0.765 0.513 0.525
0.487 0.235 0.975
0.513 0.765 0.025
0.235 0.487 0.475
0.415 0.585 0.250
0.837 0.163 0.250
0.163 0.837 0.750
0.585 0.415 0.750
```

DOS at the Fermi energy (states/eV per cell): 23.731
Calculated density (g/cm³): 8.2
Calculated formation energy (eV/atom): -0.417
Space-group type: C2/c



SrCr3P | PBE | relaxed

The structure in POSCAR format:
```
SrCr3P
1.0
4.532 0.000 0.000
0.000 4.532 0.000
0.000 0.000 4.532
Sr P Cr
1 1 3
direct
0.500 0.500 0.500
0.000 0.000 0.000
0.000 0.500 0.000
0.000 0.000 0.500
0.500 0.000 0.000
```

DOS at the Fermi energy (states/eV per cell): 5.263
Calculated density (g/cm³): 4.9
Calculated formation energy (eV/atom): 0.492
Space-group type: Pm-3m
Polymorph energy (0 for the lowest one) (meV per atom): 0



La4DyTm6 | PBE | relaxed

The structure in POSCAR format:
```
La4DyTm6
1.0
-6.320 3.952 -6.225
9.576 -1.276 0.992
3.749 -8.683 2.205
La Dy Tm
4 1 6
direct
0.000 0.634 0.013
0.379 0.366 0.366
0.000 0.013 0.634
0.621 0.987 0.987
0.000 0.000 0.000
0.000 0.794 0.443
0.000 0.443 0.794
0.351 0.557 0.557
0.500 0.500 0.000
0.649 0.206 0.206
0.500 0.000 0.500
```

DOS at the Fermi energy (states/eV per cell): 14.671
Calculated density (g/cm³): 7.5
Calculated formation energy (eV/atom): 0.293
Space-group type: I-42m



Ac2NiSn4Pd3 | PBE | relaxed

The structure in POSCAR format:
```
Ac2NiSn4Pd3
1.0
-3.940 -2.318 -0.910
1.317 -3.385 2.921
-4.932 5.162 8.205
Ac Ni Sn Pd
2 1 4 3
direct
0.500 0.000 0.261
0.000 0.500 0.739
0.500 0.500 0.500
0.500 0.500 0.000
0.000 0.000 0.000
0.500 0.000 0.618
0.000 0.500 0.382
0.000 0.000 0.500
0.500 0.000 0.865
0.000 0.500 0.135
```

DOS at the Fermi energy (states/eV per cell): 6.759
Calculated density (g/cm³): 9.2
Calculated formation energy (eV/atom): -0.737
Space-group type: P-4m2



Tl6SnHg3 | PBE | relaxed

The structure in POSCAR format:
```
Tl6SnHg3
1.0
6.701 -0.069 0.233
0.223 6.698 0.233
-0.072 -0.069 6.705
Tl Sn Hg
6 1 3
direct
0.561 0.902 0.241
0.902 0.241 0.561
0.241 0.561 0.902
0.402 0.060 0.742
0.060 0.742 0.402
0.742 0.402 0.060
0.898 0.898 0.898
0.398 0.398 0.398
0.646 0.646 0.646
0.150 0.150 0.150
```

DOS at the Fermi energy (states/eV per cell): 4.563
Calculated density (g/cm³): 10.7
Calculated formation energy (eV/atom): 0.018
Space-group type: R3
Polymorph energy (0 for the lowest one) (meV per atom): 0



- The highest calculated formation energy belongs to which entry?
  SrCr3P



- Among the records above, which one has the lowest DOS at the Fermi energy?
  Li2AlCd